# NdEr3Sc6

A relaxed structure of NdEr3Sc6 (PBE, the Alexandria database).

Size of the total moment: 0.001 Bohr magnetons per cell
ΔE_f: 0.401 eV per atom
E: -5.2431 eV/atom

a = 9.254 Å, b = 9.254 Å, c = 6.535 Å
α = 44.92°, β = 44.92°, γ = 60.00°
Atoms (fractional coordinates):
Sc 0.071 0.400 0.799
Sc 0.234 0.900 0.300
Sc 0.566 0.234 0.300
Sc 0.730 0.071 0.799
Sc 0.400 0.730 0.799
Sc 0.900 0.566 0.300
Er 0.400 0.400 0.801
Er 0.151 0.151 0.546
Er 0.648 0.648 0.057
Nd 0.900 0.900 0.301